No. 1
# Gd2ErCd3Au3

A relaxed structure of Gd2ErCd3Au3 (PBE, OQMD via LeMat-Bulk).

abc: 3.937 7.781 7.781
angles: 119.77 90.00 90.00
Atoms (fractional coordinates):
Gd1 0.000 0.202 0.798
Gd2 0.000 0.798 0.202
Er1 0.000 0.606 0.606
Cd1 0.500 0.203 0.464
Cd2 0.500 0.464 0.203
Cd3 0.500 0.940 0.940
Au1 0.000 0.203 0.203
Au2 0.500 0.536 0.866
Au3 0.500 0.866 0.536

The value obtained for the total moment is 0.002 μB per atom. The calculation puts the formation energy at -0.67 eV per atom. As for the symmetry: Amm2 (38). The calculation puts the volume at 22.99 Å³ per atom.

=====

No. 2
# ZrFeBOs

A relaxed structure of ZrFeBOs (PBE, OQMD via LeMat-Bulk).

abc: 4.319 4.319 4.319
angles: 60.00 60.00 60.00
Atoms (fractional coordinates):
Zr1 0.000 0.000 0.000
Fe1 0.500 0.500 0.500
B1 0.250 0.250 0.250
Os1 0.750 0.750 0.750

The value obtained for the total moment is 0.948 μB per atom. As for the energy relative to the lowest polymorph listed for this composition: 138.2 meV/atom. As for the symmetry: F-43m (216). The calculation puts the volume at 14.25 Å³ per atom.

=====

No. 3
# TmLuSn2Pt4

A relaxed structure of TmLuSn2Pt4 (PBE, OQMD via LeMat-Bulk).

abc: 4.532 4.532 8.992
angles: 90.00 90.00 120.00
Atoms (fractional coordinates):
Tm1 0.000 0.000 0.000
Lu1 0.333 0.667 0.500
Sn1 0.667 0.333 0.250
Sn2 0.667 0.333 0.750
Pt1 0.000 0.000 0.342
Pt2 0.000 0.000 0.658
Pt3 0.333 0.667 0.160
Pt4 0.333 0.667 0.840

The value obtained for the total moment is 0.000 μB per atom. The calculation puts the final energy at -49.4 eV/f.u. As for the symmetry: P-6m2 (187). The calculation puts the volume at 19.99 Å³ per atom.

=====

No. 4
# YFe6Sn6

A relaxed structure of YFe6Sn6 (PBE, OQMD via LeMat-Bulk).

abc: 14.956 14.956 14.956
angles: 159.16 145.25 40.87
Atoms (fractional coordinates):
Y1 0.000 0.000 0.000
Y2 0.169 0.669 0.500
Y3 0.831 0.331 0.500
Fe1 0.000 0.000 0.500
Fe2 0.000 0.500 0.000
Fe3 0.081 0.833 0.248
Fe4 0.163 0.166 0.497
Fe5 0.163 0.667 0.997
Fe6 0.246 0.500 0.746
Fe7 0.330 0.333 0.497
Fe8 0.330 0.834 0.997
Fe9 0.414 0.167 0.248
Fe10 0.500 0.000 0.000
Fe11 0.500 0.500 0.500
Fe12 0.586 0.833 0.752
Fe13 0.670 0.166 0.003
Fe14 0.670 0.667 0.503
Fe15 0.754 0.500 0.254
Fe16 0.837 0.333 0.003
Fe17 0.837 0.834 0.503
Fe18 0.919 0.167 0.752
Sn1 0.056 0.556 0.500
Sn2 0.112 0.112 0.000
Sn3 0.171 0.334 0.837
Sn4 0.224 0.224 0.000
Sn5 0.280 0.780 0.500
Sn6 0.337 0.000 0.337
Sn7 0.390 0.890 0.500
Sn8 0.445 0.445 0.000
Sn9 0.496 0.334 0.163
Sn10 0.504 0.666 0.837
Sn11 0.555 0.555 0.000
Sn12 0.610 0.110 0.500
Sn13 0.663 0.000 0.663
Sn14 0.720 0.220 0.500
Sn15 0.776 0.776 0.000
Sn16 0.829 0.666 0.163
Sn17 0.888 0.888 0.000
Sn18 0.944 0.444 0.500

The value obtained for the total moment is 0.982 μB per atom. The calculation puts the final energy at -81.9 eV/f.u. As for the symmetry: Immm (71). The calculation puts the volume at 17.37 Å³ per atom.

=====

No. 5
# PaRePO

A relaxed structure of PaRePO (PBE, OQMD via LeMat-Bulk).

abc: 4.226 4.226 6.828
angles: 90.00 90.00 90.00
Atoms (fractional coordinates):
Pa1 0.250 0.750 0.000
Pa2 0.750 0.250 0.000
Re1 0.250 0.250 0.364
Re2 0.750 0.750 0.636
P1 0.250 0.250 0.715
P2 0.750 0.750 0.285
O1 0.250 0.750 0.500
O2 0.750 0.250 0.500

The value obtained for the total moment is 0.002 μB per atom. As for the energy relative to the lowest polymorph listed for this composition: 1708.4 meV/atom. As for the symmetry: P4/nmm (129). The calculation puts the volume at 15.24 Å³ per atom.

=====

No. 6
# TbSbPb2O6

A relaxed structure of TbSbPb2O6 (PBE, OQMD via LeMat-Bulk).

abc: 6.020 6.020 6.020
angles: 60.00 60.00 60.00
Atoms (fractional coordinates):
Tb1 0.000 0.000 0.000
Sb1 0.500 0.500 0.500
Pb1 0.250 0.250 0.250
Pb2 0.750 0.750 0.750
O1 0.000 0.000 0.500
O2 0.000 0.500 0.000
O3 0.000 0.500 0.500
O4 0.500 0.000 0.000
O5 0.500 0.000 0.500
O6 0.500 0.500 0.000

The value obtained for the total moment is 0.000 μB per atom. As for the energy relative to the lowest polymorph listed for this composition: 1019.9 meV/atom. As for the symmetry: Fm-3m (225). The calculation puts the volume at 15.43 Å³ per atom.

=====

No. 7
# K2ZrAg2S4

A relaxed structure of K2ZrAg2S4 (PBE, OQMD via LeMat-Bulk).

abc: 7.317 7.317 6.054
angles: 90.00 90.00 131.00
Atoms (fractional coordinates):
K1 0.000 0.500 0.246
K2 0.500 0.000 0.754
Zr1 0.000 0.000 0.500
Ag1 0.000 0.000 0.000
Ag2 0.500 0.500 0.500
S1 0.118 0.337 0.728
S2 0.337 0.118 0.272
S3 0.663 0.882 0.272
S4 0.882 0.663 0.728

The value obtained for the total moment is 0.000 μB per atom. The calculation puts the final energy at -42.0 eV/f.u. As for the symmetry: C222 (21). The calculation puts the volume at 27.18 Å³ per atom.

=====

No. 8
# Ba2ScTcSe6

A relaxed structure of Ba2ScTcSe6 (PBE, OQMD via LeMat-Bulk).

abc: 7.228 7.228 7.228
angles: 120.00 120.00 90.00
Atoms (fractional coordinates):
Ba1 0.250 0.750 0.500
Ba2 0.750 0.250 0.500
Sc1 0.000 0.000 0.000
Tc1 0.500 0.500 0.000
Se1 0.254 0.744 0.998
Se2 0.255 0.255 0.000
Se3 0.256 0.254 0.510
Se4 0.744 0.746 0.490
Se5 0.745 0.745 0.000
Se6 0.746 0.256 0.002

The value obtained for the total moment is 0.241 μB per atom. As for the energy relative to the lowest polymorph listed for this composition: 2.1 meV/atom. As for the symmetry: I4/m (87). The calculation puts the volume at 26.70 Å³ per atom.